1.
Entry from the Alexandria database: Ca4Te2Rh after structural relaxation (GGA-PBE).

The formation energy from raw total energies is -0.862 eV/atom. Its space group is I4/mmm.

a = 9.009 Å, b = 9.009 Å, c = 9.009 Å
α = 146.09°, β = 146.09°, γ = 48.71°
Atoms (fractional coordinates):
Ca 0.000 0.500 0.500
Ca 0.170 0.170 0.000
Ca 0.500 0.000 0.500
Ca 0.830 0.830 0.000
Te 0.360 0.360 0.000
Te 0.640 0.640 0.000
Rh 0.000 0.000 0.000

---

2.
Entry from the Alexandria database: Cs4PmHo3Te8 after structural relaxation (GGA-PBE).

The formation energy from raw total energies is -1.385 eV/atom. Its space group is R-3m.

a = 10.366 Å, b = 10.366 Å, c = 10.366 Å
α = 52.29°, β = 52.29°, γ = 52.29°
Atoms (fractional coordinates):
Cs 0.000 0.000 0.000
Cs 0.000 0.500 0.500
Cs 0.500 0.000 0.500
Cs 0.500 0.500 0.000
Pm 0.500 0.500 0.500
Ho 0.000 0.000 0.500
Ho 0.000 0.500 0.000
Ho 0.500 0.000 0.000
Te 0.224 0.733 0.733
Te 0.229 0.229 0.229
Te 0.267 0.267 0.776
Te 0.267 0.776 0.267
Te 0.733 0.224 0.733
Te 0.733 0.733 0.224
Te 0.771 0.771 0.771
Te 0.776 0.267 0.267

---

3.
Entry from the Alexandria database: LaHfGa3 after structural relaxation (GGA-PBE).

The value obtained for the distance to the lowest polymorph of the same formula is 0 meV per atom. Its space group is Cmcm. Its formation energy is -0.539 eV/atom.

a = 12.847 Å, b = 12.847 Å, c = 4.126 Å
α = 90.00°, β = 90.00°, γ = 161.35°
Atoms (fractional coordinates):
La 0.078 0.922 0.750
La 0.922 0.078 0.250
Hf 0.206 0.794 0.250
Hf 0.794 0.206 0.750
Ga 0.314 0.686 0.250
Ga 0.373 0.627 0.750
Ga 0.474 0.526 0.750
Ga 0.526 0.474 0.250
Ga 0.627 0.373 0.250
Ga 0.686 0.314 0.750

---

4.
Entry from the Alexandria database: K4TeH after structural relaxation (GGA-PBE).

Its space group is P4/mmm.

a = 5.512 Å, b = 5.512 Å, c = 8.036 Å
α = 90.00°, β = 90.00°, γ = 90.00°
Atoms (fractional coordinates):
K 0.000 0.500 0.229
K 0.000 0.500 0.771
K 0.500 0.000 0.229
K 0.500 0.000 0.771
Te 0.000 0.000 0.500
H 0.500 0.500 0.000

---

5.
Entry from the Alexandria database: Ac3Be2SbPt9 after structural relaxation (GGA-PBE).

The formation energy from raw total energies is -0.748 eV/atom. Its space group is P-3m1.

a = 6.940 Å, b = 6.940 Å, c = 7.381 Å
α = 90.00°, β = 90.00°, γ = 120.00°
Atoms (fractional coordinates):
Ac 0.000 0.000 0.000
Ac 0.333 0.667 0.667
Ac 0.667 0.333 0.333
Be 0.333 0.667 0.122
Be 0.667 0.333 0.878
Sb 0.000 0.000 0.500
Pt 0.000 0.500 0.000
Pt 0.189 0.378 0.313
Pt 0.189 0.811 0.313
Pt 0.378 0.189 0.687
Pt 0.500 0.000 0.000
Pt 0.500 0.500 0.000
Pt 0.622 0.811 0.313
Pt 0.811 0.189 0.687
Pt 0.811 0.622 0.687

---

6.
Entry from the Alexandria database: Hg3SeCl after structural relaxation (GGA-PBE).

The value obtained for the distance to the lowest polymorph of the same formula is 494 meV per atom. The formation energy from raw total energies is 0.440 eV/atom. Its space group is Pm-3m.

a = 5.454 Å, b = 5.454 Å, c = 5.454 Å
α = 90.00°, β = 90.00°, γ = 90.00°
Atoms (fractional coordinates):
Hg 0.000 0.000 0.500
Hg 0.000 0.500 0.000
Hg 0.500 0.000 0.000
Se 0.500 0.500 0.500
Cl 0.000 0.000 0.000

---

7.
Entry from the Alexandria database: AcZn2Ag9 after structural relaxation (GGA-PBE).

The value obtained for the distance to the lowest polymorph of the same formula is 101 meV per atom. Its space group is P6/mmm. Its formation energy is -0.011 eV/atom.

a = 9.002 Å, b = 9.002 Å, c = 3.378 Å
α = 90.00°, β = 90.00°, γ = 120.00°
Atoms (fractional coordinates):
Ac 0.000 0.000 0.000
Zn 0.333 0.667 0.000
Zn 0.667 0.333 0.000
Ag 0.000 0.500 0.000
Ag 0.190 0.381 0.500
Ag 0.190 0.810 0.500
Ag 0.381 0.190 0.500
Ag 0.500 0.000 0.000
Ag 0.500 0.500 0.000
Ag 0.619 0.810 0.500
Ag 0.810 0.190 0.500
Ag 0.810 0.619 0.500

---

8.
Entry from the Alexandria database: Hf2MnPtN after structural relaxation (GGA-PBE).

The formation energy from raw total energies is -1.007 eV/atom. Its space group is P4/mmm.

a = 4.454 Å, b = 4.454 Å, c = 3.711 Å
α = 90.00°, β = 90.00°, γ = 90.00°
Atoms (fractional coordinates):
Hf 0.000 0.500 0.000
Hf 0.500 0.000 0.000
Mn 0.000 0.000 0.500
Pt 0.500 0.500 0.500
N 0.000 0.000 0.000

---

9.
Entry from the Alexandria database: As5Ir4 after structural relaxation (GGA-PBE).

The value obtained for the distance to the lowest polymorph of the same formula is 0 meV per atom. Its space group is P6_3/mcm. Its formation energy is 0.271 eV/atom.

a = 7.637 Å, b = 7.637 Å, c = 5.758 Å
α = 90.00°, β = 90.00°, γ = 120.00°
Atoms (fractional coordinates):
As 0.000 0.318 0.250
As 0.000 0.682 0.750
As 0.318 0.000 0.250
As 0.318 0.318 0.750
As 0.333 0.667 0.000
As 0.333 0.667 0.500
As 0.667 0.333 0.000
As 0.667 0.333 0.500
As 0.682 0.000 0.750
As 0.682 0.682 0.250
Ir 0.000 0.000 0.000
Ir 0.000 0.000 0.500
Ir 0.000 0.332 0.750
Ir 0.000 0.668 0.250
Ir 0.332 0.000 0.750
Ir 0.332 0.332 0.250
Ir 0.668 0.000 0.250
Ir 0.668 0.668 0.750

---

10.
Entry from the Alexandria database: ZrRe2Te after structural relaxation (GGA-PBE).

The formation energy from raw total energies is 0.368 eV/atom. Its space group is Pmmm.

a = 3.288 Å, b = 4.511 Å, c = 4.902 Å
α = 90.00°, β = 90.00°, γ = 90.00°
Atoms (fractional coordinates):
Zr 0.000 0.000 0.000
Re 0.000 0.500 0.500
Re 0.500 0.000 0.500
Te 0.500 0.500 0.000

---

11.
Entry from the Alexandria database: ReC2 after structural relaxation (GGA-PBE).

The value obtained for the distance to the lowest polymorph of the same formula is 619 meV per atom. Its space group is Immm. Its formation energy is 1.059 eV/atom.

a = 3.481 Å, b = 3.481 Å, c = 3.481 Å
α = 131.94°, β = 102.85°, γ = 96.27°
Atoms (fractional coordinates):
Re 0.000 0.000 0.000
C 0.351 0.851 0.500
C 0.649 0.149 0.500

---

12.
Entry from the Alexandria database: AlZn2Cu after structural relaxation (GGA-PBE).

Its space group is R-3m. Its formation energy is -0.027 eV/atom.

a = 8.840 Å, b = 8.840 Å, c = 8.840 Å
α = 18.11°, β = 18.11°, γ = 18.11°
Atoms (fractional coordinates):
Al 0.000 0.000 0.000
Zn 0.246 0.246 0.246
Zn 0.754 0.754 0.754
Cu 0.500 0.500 0.500

---

Record order is preserved below.
E_tot: -3.953 -4.324 -5.331 -2.221 -5.966 -0.807 -2.704 -9.696 -6.250 -8.779 -9.240 -2.624 eV per atom
Record order is preserved below.
Ρ: 3.8 5.6 8.0 1.9 13.9 7.3 9.3 14.0 13.1 13.5 12.2 6.3 g/cm3